[1]
The following is a PBE-GGA calculation of crystalline K2LaHg2Te4 at its relaxed geometry, from Alexandria.

Cell: 16.8316 4.9857 8.4294 Å, 90.00 109.42 90.00°
With the nearest neighbours (Å) after each atom.
Space group C2/m (No. 12)
Inequivalent atoms, fractional coordinates:
K 0.1317 0.0000 0.0795 (multiplicity 4)  7 Te 3.72-3.85, 1 Hg 3.94
La 0.0000 0.0000 0.5000 (multiplicity 2)  6 Te 3.30
Hg 0.1697 0.5000 0.5088 (multiplicity 4)  4 Te 2.91-3.15
Te 0.0035 0.5000 0.2459 (multiplicity 4)  1 Hg 2.94
Te 0.2055 0.0000 0.6983 (multiplicity 4)  3 Hg 2.91-3.15

Computed properties:
Crystal system = monoclinic
E_form (uncorrected) = -0.8347 eV per atom

=====

[2]
The following is a PBE-GGA calculation of crystalline Ac3InSb2Au6 at its relaxed geometry, from Alexandria.

Cell: 6.5181 6.5181 8.8224 Å, 90.00 90.00 120.00°
With the nearest neighbours (Å) after each atom.
Space group P-3m1 (No. 164)
Inequivalent atoms, fractional coordinates:
Ac 0.0000 0.0000 0.0000 (multiplicity 1)  6 Au 3.25
Ac 0.3333 0.6667 0.6328 (multiplicity 2)  9 Au 3.34-3.51, 1 Sb 3.49
In 0.0000 0.0000 0.5000 (multiplicity 1)  6 Au 2.79
Sb 0.3333 0.6667 0.0279 (multiplicity 2)  3 Au 2.85
Au 0.1817 0.3634 0.2855 (multiplicity 6)  1 In 2.79, 1 Sb 2.85, 2 Au 2.97

Computed properties:
Crystal system = trigonal
E_form (uncorrected) = -0.5856 eV per atom

=====

[3]
The following is a PBE-GGA calculation of crystalline HfThNp2P4 at its relaxed geometry, from Alexandria.

Cell: 6.7728 3.9526 6.8777 Å, 90.00 109.46 90.00°
With the nearest neighbours (Å) after each atom.
Space group P2/m (No. 10)
Inequivalent atoms, fractional coordinates:
Hf 0.0000 0.0000 0.0000 (multiplicity 1)  6 P 2.71-2.73
Th 0.0000 0.5000 0.5000 (multiplicity 1)  6 P 2.85-2.86
Np 0.5000 0.0000 0.5000 (multiplicity 1)  6 P 2.86-2.87
Np 0.5000 0.5000 0.0000 (multiplicity 1)  6 P 2.72-2.73
P 0.2440 0.5000 0.2322 (multiplicity 2)  3 Np 2.72-2.86, 2 Hf 2.73, 1 Th 2.85
P 0.2543 0.0000 0.7689 (multiplicity 2)  1 Hf 2.71, 3 Np 2.73-2.87, 2 Th 2.86

Computed properties:
Energy of formation = -1.123 eV per atom
Crystal system = monoclinic

=====

[4]
The following is a PBE-GGA calculation of crystalline ZrAl4Hg at its relaxed geometry, from Alexandria.

Cell: 7.6419 7.6419 7.6419 Å, 90.00 90.00 90.00°
With the nearest neighbours (Å) after each atom.
Space group F-43m (No. 216)
Inequivalent atoms, fractional coordinates:
Zr 0.0000 0.0000 0.0000 (multiplicity 4)  12 Al 3.17, 4 Hg 3.31
Al 0.1249 0.1249 0.6249 (multiplicity 16)  6 Al 2.70
Hg 0.2500 0.2500 0.2500 (multiplicity 4)  12 Al 3.17, 4 Zr 3.31

Computed properties:
Energy of formation = -0.063 eV per atom
Crystal system = cubic

=====

[5]
The following is a PBE-GGA calculation of crystalline CaTm2Pd3 at its relaxed geometry, from Alexandria.

Cell: 3.4514 3.4514 10.6870 Å, 90.00 90.00 90.00°
With the nearest neighbours (Å) after each atom.
Space group P4/mmm (No. 123)
Inequivalent atoms, fractional coordinates:
Ca 0.0000 0.0000 0.0000 (multiplicity 1)  8 Pd 3.16, 4 Ca 3.45
Tm 0.0000 0.0000 0.3349 (multiplicity 2)  8 Pd 2.90-3.01
Pd 0.5000 0.5000 0.1885 (multiplicity 2)  4 Tm 2.90, 4 Ca 3.16
Pd 0.5000 0.5000 0.5000 (multiplicity 1)  8 Tm 3.01, 2 Pd 3.33

Computed properties:
Energy of formation = -0.881 eV per atom
Crystal system = tetragonal

=====

[6]
The following is a PBE-GGA calculation of crystalline TiBeFe2 at its relaxed geometry, from Alexandria.

Cell: 3.5314 3.5314 15.7905 Å, 90.00 90.00 90.00°
With the nearest neighbours (Å) after each atom.
Space group I-42d (No. 122)
Inequivalent atoms, fractional coordinates:
Ti 0.0000 0.0000 0.0000 (multiplicity 4)  4 Fe 2.45, 4 Be 2.50
Be 0.0000 0.0000 0.5000 (multiplicity 4)  4 Fe 2.25, 4 Ti 2.50
Fe 0.1767 0.2500 0.6250 (multiplicity 8)  2 Fe 2.16, 2 Be 2.25

Computed properties:
Energy of formation = 0.288 eV per atom
Crystal system = tetragonal